No. 1
KAlO2 | PBE-GGA | relaxed

- E: -400.57 eV per cell
- Formation energy from raw total energies: -10.28 eV per formula unit

Structure (POSCAR):
```
KAlO2
1.0
5.499 0.000 0.000
0.000 11.037 0.000
0.000 0.000 15.635
K Al O
16 16 32
direct
0.753 0.007 0.062 K
0.253 0.493 0.938 K
0.247 0.507 0.438 K
0.747 0.993 0.562 K
0.247 0.993 0.938 K
0.747 0.507 0.062 K
0.753 0.493 0.562 K
0.253 0.007 0.438 K
0.795 0.261 0.185 K
0.295 0.239 0.815 K
0.205 0.761 0.315 K
0.705 0.739 0.685 K
0.205 0.739 0.815 K
0.705 0.761 0.185 K
0.795 0.239 0.685 K
0.295 0.261 0.315 K
0.255 0.008 0.189 Al
0.755 0.492 0.811 Al
0.745 0.508 0.311 Al
0.245 0.992 0.689 Al
0.745 0.992 0.811 Al
0.245 0.508 0.189 Al
0.255 0.492 0.689 Al
0.755 0.008 0.311 Al
0.280 0.262 0.064 Al
0.780 0.238 0.936 Al
0.720 0.762 0.436 Al
0.220 0.738 0.564 Al
0.720 0.738 0.936 Al
0.220 0.762 0.064 Al
0.280 0.238 0.564 Al
0.780 0.262 0.436 Al
0.551 0.485 0.222 O
0.051 0.015 0.778 O
0.449 0.985 0.278 O
0.949 0.515 0.722 O
0.449 0.515 0.778 O
0.949 0.985 0.222 O
0.551 0.015 0.722 O
0.051 0.485 0.278 O
0.799 0.158 0.351 O
0.299 0.342 0.649 O
0.201 0.658 0.149 O
0.701 0.842 0.851 O
0.201 0.842 0.649 O
0.701 0.658 0.351 O
0.799 0.342 0.851 O
0.569 0.285 0.016 O
0.678 0.404 0.395 O
0.178 0.096 0.605 O
0.322 0.904 0.105 O
0.822 0.596 0.895 O
0.322 0.596 0.605 O
0.822 0.904 0.395 O
0.678 0.096 0.895 O
0.178 0.404 0.105 O
0.069 0.285 0.484 O
0.569 0.215 0.516 O
0.931 0.785 0.016 O
0.431 0.715 0.984 O
0.931 0.715 0.516 O
0.431 0.785 0.484 O
0.069 0.215 0.984 O
0.299 0.158 0.149 O
```

No. 2
CsAcSeI2 | PBE-GGA | relaxed

- E: -19.25 eV per cell
- Formation energy from raw total energies: -7.71 eV per formula unit

Structure (POSCAR):
```
CsAcSeI2
1.0
6.622 0.000 0.000
0.000 6.622 0.000
0.000 0.000 5.902
Cs Ac Se I
1 1 1 2
direct
0.500 0.500 0.500 Cs
0.000 0.000 0.001 Ac
0.000 0.000 0.501 Se
0.000 0.500 0.999 I
0.500 0.000 0.999 I
```

No. 3
RbZr2Ir2 | PBE-GGA | relaxed

- Distance to the lowest polymorph of the same formula: 0 meV per atom
- E: -73.32 eV per cell
- Formation enthalpy at 0 K: -0.175 eV/atom

Structure (POSCAR):
```
RbZr2Ir2
1.0
-1.941 -6.407 -4.928
8.013 -2.192 -0.305
-0.395 -1.790 2.483
Ir Rb Zr
4 2 4
direct
0.139 0.639 0.500 Ir
0.639 0.861 0.500 Ir
0.861 0.361 0.500 Ir
0.361 0.139 0.500 Ir
0.000 0.000 0.000 Rb
0.500 0.500 0.000 Rb
0.358 0.858 0.000 Zr
0.858 0.642 0.000 Zr
0.642 0.142 0.000 Zr
0.142 0.358 0.000 Zr
```

No. 4
Tl2WAu | PBE-GGA | relaxed

- Distance to the lowest polymorph of the same formula: 159 meV per atom
- E: -18.03 eV per cell
- Formation enthalpy at 0 K: 0.732 eV/atom

Structure (POSCAR):
```
Tl2WAu
1.0
-3.372 -0.577 -9.514
-1.048 -2.626 -9.707
-3.830 -3.528 -8.666
Au Tl W
1 2 1
direct
0.250 0.250 0.250 Au
0.001 0.001 0.001 Tl
0.499 0.499 0.499 Tl
0.750 0.750 0.750 W
```

No. 5
CdGeSe3 | PBE-GGA | relaxed

- Distance to the lowest polymorph of the same formula: 108 meV per atom
- E: -34.28 eV per cell
- Formation energy from raw total energies: -1.15 eV per formula unit

Structure (POSCAR):
```
CdGeSe3
1.0
3.597 0.000 0.000
0.000 7.083 0.000
-1.798 0.000 10.319
Cd Ge Se
2 2 6
direct
0.838 0.993 0.676 Cd
0.162 0.493 0.324 Cd
0.350 0.527 0.699 Ge
0.650 0.027 0.301 Ge
0.905 0.333 0.809 Se
0.095 0.833 0.191 Se
0.583 0.307 0.166 Se
0.417 0.807 0.834 Se
0.763 0.634 0.525 Se
0.237 0.134 0.475 Se
```

No. 6
Pu3Hg4Au4 | PBE-GGA | relaxed

- Distance to the lowest polymorph of the same formula: 0 meV per atom
- E: -59.80 eV per cell
- Formation enthalpy at 0 K: -0.226 eV/atom

Structure (POSCAR):
```
Pu3Hg4Au4
1.0
3.900 0.000 -1.074
-0.907 7.327 -3.294
0.485 -0.184 9.380
Pu Hg Au
3 4 4
direct
0.115 0.115 0.230 Pu
0.885 0.885 0.770 Pu
0.000 0.500 0.000 Pu
0.339 0.149 0.677 Hg
0.661 0.472 0.323 Hg
0.661 0.851 0.323 Hg
0.339 0.528 0.677 Hg
0.245 0.745 0.490 Au
0.755 0.255 0.510 Au
0.500 0.815 0.000 Au
0.500 0.185 0.000 Au
```

No. 7
Pm3Ho4Ag | PBE-GGA | relaxed

- E: -35.90 eV per cell
- Formation enthalpy at 0 K: -0.061 eV/atom

Structure (POSCAR):
```
Pm3Ho4Ag
1.0
-0.202 1.305 -3.329
-2.238 -2.647 -0.902
-14.832 10.791 5.130
Ho Ag Pm
4 1 3
direct
0.000 0.000 0.902 Ho
0.000 0.000 0.098 Ho
0.000 0.000 0.366 Ho
0.000 0.000 0.634 Ho
0.500 0.500 0.000 Ag
0.500 0.500 0.233 Pm
0.500 0.500 0.500 Pm
0.500 0.500 0.767 Pm
```

No. 8
Er2SbP | PBE-GGA | relaxed

- E: -23.93 eV per cell
- Formation energy from raw total energies: -5.27 eV per formula unit

Structure (POSCAR):
```
Er2SbP
1.0
4.116 -0.001 -0.003
-2.057 3.565 0.003
-2.052 -1.191 6.917
Er Sb P
2 1 1
direct
0.517 0.259 0.776 Er
0.483 0.741 0.224 Er
0.000 0.500 0.500 Sb
0.000 0.000 0.000 P
```

The highest E belongs to which entry?
Tl2WAu